Here is a geometry-optimized HoAl3Ag structure from Alexandria via LeMat-Bulk. Energies are from PBE.

Calculated values
The density of states at the Fermi level is 2.63 states/eV per cell. The crystal system is orthorhombic. As for the total energy: -4.074 eV/atom.

Geometry as POSCAR:
```
HoAl3Ag
1.0
5.8476 0.0000 0.0000
0.0000 5.7212 -2.9504
0.0000 -0.0002 5.9011
Ho Al Ag
2 6 2
direct
0.2500 0.5097 0.7549
0.7500 0.4903 0.2451
0.5000 0.0000 0.2444
0.5000 0.0000 0.7556
0.0000 0.0000 0.2444
0.0000 0.0000 0.7556
0.2500 0.2942 0.1471
0.7500 0.7058 0.8529
0.2500 0.7276 0.3639
0.7500 0.2724 0.6361
```